# Nd3Zn2Cu9 | the Alexandria database | PBE | relaxed
data_Nd3Zn2Cu9
_chemical_formula_sum 'Nd6 Zn4 Cu18'
_symmetry_space_group_name_H-M 'I m m m'
_symmetry_Int_Tables_number 71
_symmetry_space_group_name_Hall '-I 2 2'
_cell_length_a 4.2545
_cell_length_b 8.8845
_cell_length_c 12.6617
_cell_angle_alpha 90.00
_cell_angle_beta 90.00
_cell_angle_gamma 90.00
loop_
_atom_site_label
_atom_site_type_symbol
_atom_site_fract_x
_atom_site_fract_y
_atom_site_fract_z
_atom_site_occupancy
Nd1 Nd 0.0000 0.0000 0.0000 1
Nd2 Nd 0.0000 0.0000 0.2993 1
Zn1 Zn 0.0000 0.2025 0.5000 1
Cu1 Cu 0.0000 0.2838 0.1249 1
Cu2 Cu 0.0000 0.3551 0.3307 1
Cu3 Cu 0.0000 0.5000 0.0000 1
# Calculated volume   17.09 A^3/atom
# Uncorrected energy   -4.03 eV per atom
# Formation enthalpy at 0 K   -0.19 eV per atom